First-principles (PBE-GGA) data for an optimized crystal structure of NaLa2Mo, as listed in Alexandria via LeMat-Bulk.

Results
ΔH_f (0 K), kJ/mol of formula units: 182.7
Raw total energy, eV/atom: -5.028
Energy above the most stable polymorph in this dataset, kJ/mol of atoms: 0.0

CIF file:
```
data_NaLa2Mo
_chemical_formula_sum 'Na4 La8 Mo4'
_space_group_name_H-M_alt 'F m -3 m'
_space_group_IT_number 225
_space_group_name_Hall '-F 4 2 3'
_cell_length_a 7.4974
_cell_length_b 7.4974
_cell_length_c 7.4974
_cell_angle_alpha 90.00
_cell_angle_beta 90.00
_cell_angle_gamma 90.00
loop_
_atom_site_label
_atom_site_type_symbol
_atom_site_fract_x
_atom_site_fract_y
_atom_site_fract_z
_atom_site_occupancy
Na1 Na 0.0000 0.0000 0.0000 1
La1 La 0.2500 0.2500 0.2500 1
Mo1 Mo 0.0000 0.0000 0.5000 1
```